# 1
Density functional theory data (GGA-PBE) for a relaxed structure of Ac2HfTl3Se6.

a = 7.524 Å, b = 7.524 Å, c = 8.140 Å
α = 99.03°, β = 99.03°, γ = 119.79°
Positions (direct):
Ac 0.166 0.834 0.000
Ac 0.834 0.166 0.000
Hf 0.500 0.500 0.000
Tl 0.000 0.000 0.500
Tl 0.328 0.672 0.500
Tl 0.672 0.328 0.500
Se 0.136 0.431 0.794
Se 0.281 0.281 0.215
Se 0.431 0.136 0.794
Se 0.569 0.864 0.206
Se 0.719 0.719 0.785
Se 0.864 0.569 0.206

Values from the calculation:
Total magnetic moment ... 0.00 μB per formula unit
Calculated volume ... 379.9 Å³/cell
Uncorrected formation energy ... -1407 kJ/mol of formula units
E ... -5.06 eV per atom
Symmetry ... No. 12

=====

# 2
Density functional theory data (GGA-PBE) for a relaxed structure of RbInPb2Br8.

a = 6.827 Å, b = 7.159 Å, c = 9.296 Å
α = 89.97°, β = 89.89°, γ = 88.64°
Positions (direct):
Rb 0.000 0.000 0.000
In 0.000 0.000 0.500
Pb 0.500 0.500 0.256
Pb 0.500 0.500 0.744
Br 0.229 0.320 0.500
Br 0.239 0.852 0.706
Br 0.240 0.853 0.293
Br 0.269 0.381 0.000
Br 0.731 0.619 0.000
Br 0.760 0.147 0.707
Br 0.761 0.148 0.294
Br 0.771 0.680 0.500

Values from the calculation:
Total magnetic moment ... 0.00 μB per formula unit
Calculated volume ... 454.2 Å³/cell
Uncorrected formation energy ... -1135 kJ/mol of formula units
E ... -3.02 eV per atom
Symmetry ... No. 2

=====

| no. | Fermi-level density of states (states/eV/cell) |
| --- | --- |
| 1 | 4.92 |
| 2 | 0.00 |